A:
This record from the Alexandria database describes an optimized crystal structure of Tb4SmSc. The functional is PBE-GGA.

Calculated values
The calculation puts the calculated volume at 385.28 Å³/cell.

Cell lengths 11.321, 3.447, 11.311 Å; angles 90.00, 119.21, 90.00 degrees
Space group C2/m (No. 12)
Asymmetric unit:
Tb1 0.154 0.000 0.338 [4 per cell]
Tb2 0.156 0.500 0.850 [4 per cell]
Sm1 0.000 0.500 0.500 [2 per cell]
Sc1 0.000 0.000 0.000 [2 per cell]

***

B:
This record from the Alexandria database describes an optimized crystal structure of Tb4SmSc. The functional is PBE-GGA.

Calculated values
The calculation puts the calculated volume at 370.47 Å³/cell.

Cell lengths 6.099, 10.585, 6.088 Å; angles 90.00, 109.51, 90.00 degrees
Space group C2/m (No. 12)
Asymmetric unit:
Tb1 0.000 0.164 0.000 [4 per cell]
Tb2 0.000 0.333 0.500 [4 per cell]
Sm1 0.000 0.500 0.000 [2 per cell]
Sc1 0.000 0.000 0.500 [2 per cell]

***

Question: which arrangement is favored energetically? Ranking from most to least stable: B, A.

***

A:
This record from the Alexandria database describes an optimized crystal structure of Tb4Sm6Sc. The functional is PBE-GGA.

Calculated values
The calculation puts the calculated volume at 1424.10 Å³/cell.

Cell lengths 5.789, 9.596, 25.634 Å; angles 90.00, 90.00, 90.00 degrees
Space group Cmcm (No. 63)
Asymmetric unit:
Tb1 0.000 0.045 0.123 [8 per cell]
Tb2 0.000 0.351 0.044 [8 per cell]
Sm1 0.000 0.000 0.000 [4 per cell]
Sm2 0.000 0.046 0.250 [4 per cell]
Sm3 0.000 0.298 0.606 [8 per cell]
Sm4 0.000 0.376 0.183 [8 per cell]
Sc1 0.000 0.291 0.750 [4 per cell]

***

B:
This record from the Alexandria database describes an optimized crystal structure of Tb4Sm6Sc. The functional is PBE-GGA.

Calculated values
The calculation puts the calculated volume at 784.33 Å³/cell.

Cell lengths 8.034, 8.034, 12.152 Å; angles 90.00, 90.00, 90.00 degrees
Space group I-42m (No. 121)
Asymmetric unit:
Tb1 0.170 0.170 0.435 [8 per cell]
Sm1 0.000 0.500 0.000 [4 per cell]
Sm2 0.188 0.188 0.717 [8 per cell]
Sc1 0.000 0.000 0.000 [2 per cell]

***

Question: which arrangement is favored energetically? Ranking from most to least stable: A, B.